(1)
ReHgRhS2 | PBE-GGA | optimized geometry

SG = No. 123
Raw formation energy = 1123 meV per atom

Unit cell a=4.4907 b=4.4907 c=5.3097 alpha=90.00 beta=90.00 gamma=90.00
Positions (direct):
Re (0.0000, 0.0000, 0.0000)
Hg (0.5000, 0.5000, 0.0000)
Rh (0.0000, 0.0000, 0.5000)
S (0.0000, 0.5000, 0.5000)
S (0.5000, 0.0000, 0.5000)


(2)
ReHg2RhS | PBE-GGA | optimized geometry

SG = No. 123
Raw formation energy = 1294 meV per atom

Unit cell a=4.9738 b=4.9738 c=4.2848 alpha=90.00 beta=90.00 gamma=90.00
Positions (direct):
Re (0.0000, 0.0000, 0.0000)
Hg (0.0000, 0.5000, 0.5000)
Hg (0.5000, 0.0000, 0.5000)
Rh (0.5000, 0.5000, 0.0000)
S (0.0000, 0.0000, 0.5000)


(3)
ReHgSb2Rh | PBE-GGA | optimized geometry

SG = No. 123
Raw formation energy = 1048 meV per atom

Unit cell a=5.0478 b=5.0478 c=5.2754 alpha=90.00 beta=90.00 gamma=90.00
Positions (direct):
Re (0.0000, 0.0000, 0.0000)
Hg (0.0000, 0.0000, 0.5000)
Sb (0.0000, 0.5000, 0.0000)
Sb (0.5000, 0.0000, 0.0000)
Rh (0.5000, 0.5000, 0.5000)


(4)
SrReHgRh2 | PBE-GGA | optimized geometry

Formation enthalpy at 0 K = 0.440 eV per atom
SG = No. 123

Unit cell a=4.7807 b=4.7807 c=5.3172 alpha=90.00 beta=90.00 gamma=90.00
Positions (direct):
Sr (0.0000, 0.0000, 0.0000)
Re (0.5000, 0.5000, 0.5000)
Hg (0.5000, 0.5000, 0.0000)
Rh (0.0000, 0.5000, 0.5000)
Rh (0.5000, 0.0000, 0.5000)


(5)
ZnRe2HgRh | PBE-GGA | optimized geometry

Formation enthalpy at 0 K = 1.823 eV per atom
SG = No. 123

Unit cell a=4.5518 b=4.5518 c=4.5173 alpha=90.00 beta=90.00 gamma=90.00
Positions (direct):
Zn (0.0000, 0.0000, 0.0000)
Re (0.0000, 0.5000, 0.0000)
Re (0.5000, 0.0000, 0.0000)
Hg (0.5000, 0.5000, 0.5000)
Rh (0.0000, 0.0000, 0.5000)


(6)
ReHgRu2 | PBE-GGA | optimized geometry

Formation enthalpy at 0 K = 0.661 eV per atom
SG = No. 71

Unit cell a=5.5235 b=5.5235 c=5.5235 alpha=150.33 beta=128.37 gamma=60.69
Positions (direct):
Re (0.0000, 0.0000, 0.0000)
Hg (0.5000, 0.5000, 0.0000)
Ru (0.2264, 0.7264, 0.5000)
Ru (0.7736, 0.2736, 0.5000)


(7)
ReHg4Ru | PBE-GGA | optimized geometry

Formation enthalpy at 0 K = 1.257 eV per atom
SG = No. 216

Unit cell a=5.5513 b=5.5513 c=5.5513 alpha=60.00 beta=60.00 gamma=60.00
Positions (direct):
Re (0.0000, 0.0000, 0.0000)
Hg (0.3751, 0.3751, 0.3751)
Hg (0.3751, 0.3751, 0.8747)
Hg (0.3751, 0.8747, 0.3751)
Hg (0.8747, 0.3751, 0.3751)
Ru (0.7500, 0.7500, 0.7500)


(8)
ReHgRu2 | PBE-GGA | optimized geometry

Formation enthalpy at 0 K = 0.255 eV per atom
SG = No. 166

Unit cell a=9.4006 b=9.4006 c=9.4006 alpha=17.21 beta=17.21 gamma=17.21
Positions (direct):
Re (0.0000, 0.0000, 0.0000)
Hg (0.5000, 0.5000, 0.5000)
Ru (0.2576, 0.2576, 0.2576)
Ru (0.7424, 0.7424, 0.7424)


(9)
ReHgRu4 | PBE-GGA | optimized geometry

Formation enthalpy at 0 K = 0.685 eV per atom
SG = No. 216

Unit cell a=5.1019 b=5.1019 c=5.1019 alpha=60.00 beta=60.00 gamma=60.00
Positions (direct):
Re (0.0000, 0.0000, 0.0000)
Hg (0.7500, 0.7500, 0.7500)
Ru (0.3750, 0.3750, 0.3750)
Ru (0.3750, 0.3750, 0.8751)
Ru (0.3750, 0.8751, 0.3750)
Ru (0.8751, 0.3750, 0.3750)


(10)
ReHg2Ru | PBE-GGA | optimized geometry

E above lowest polymorph = 623.4 meV per atom
Formation enthalpy at 0 K = 0.939 eV per atom
SG = No. 65

Unit cell a=5.1961 b=5.1961 c=2.8079 alpha=90.00 beta=90.00 gamma=111.41
Positions (direct):
Re (0.0000, 0.0000, 0.0000)
Hg (0.0000, 0.5000, 0.5000)
Hg (0.5000, 0.0000, 0.5000)
Ru (0.5000, 0.5000, 0.0000)


(11)
Re2HgRu | PBE-GGA | optimized geometry

Formation enthalpy at 0 K = 0.373 eV per atom
SG = No. 99

Unit cell a=2.8277 b=2.8277 c=8.0324 alpha=90.00 beta=90.00 gamma=90.00
Positions (direct):
Re (0.0000, 0.0000, 0.0000)
Re (0.5000, 0.5000, 0.2306)
Hg (0.5000, 0.5000, 0.7198)
Ru (0.0000, 0.0000, 0.4500)


(12)
Re2HgRu | PBE-GGA | optimized geometry

Formation enthalpy at 0 K = 0.649 eV per atom
SG = No. 71

Unit cell a=5.8756 b=5.8756 c=5.8756 alpha=152.64 beta=133.70 gamma=54.62
Positions (direct):
Re (0.2130, 0.2130, 0.0000)
Re (0.7870, 0.7870, 0.0000)
Hg (0.5000, 0.0000, 0.5000)
Ru (0.0000, 0.5000, 0.5000)


Respective magnetization values: 3.9, 0.7, 0.1, 0.0, 0.0, 0.0, 3.8, 0.0, 0.0, 2.3, 0.0, 0.0 μB/f.u..
Respective Fermi-level density of states values: 4.691, 3.551, 3.655, 3.429, 9.656, 4.673, 3.493, 2.358, 8.534, 4.163, 4.202, 3.515 states/eV/f.u..